1.
Computed, not measured: a geometry-optimized MgAsW structure at the PBE-GGA level of DFT.

Properties
raw total energy: -17.640 eV/cell
crystal system: cubic
N(E_F): 3.8 states/eV/cell
distance to the lowest polymorph of the same formula: 0.449 eV per atom
calculated density: 8.504 g cm⁻³
calculated volume: 18.42 A^3/atom

a b c (Å): 4.2757 4.2757 4.2757
angles (deg): 60.00 60.00 60.00
Last column: nearest neighbours and their distance in Å.
Atoms (fractional coordinates):
1 Mg 0.0000 0.0000 0.0000  4 As 2.62
2 As 0.7500 0.7500 0.7500  4 W 2.62, 4 Mg 2.62
3 W 0.5000 0.5000 0.5000  4 As 2.62

---

2.
Computed, not measured: a geometry-optimized NaNpGeTe3 structure at the PBE-GGA level of DFT.

Properties
raw total energy: -62.230 eV/cell
crystal system: monoclinic
N(E_F): 22.7 states/eV/cell
calculated density: 6.896 g cm⁻³
raw formation energy: -0.4688 eV per atom
calculated volume: 28.71 A^3/atom

a b c (Å): 8.7818 4.3066 10.0022
angles (deg): 90.00 114.38 90.00
Last column: nearest neighbours and their distance in Å.
Atoms (fractional coordinates):
1 Na 0.0032 0.2500 0.2741  7 Te 3.20-3.44
2 Na 0.9968 0.7500 0.7259  7 Te 3.20-3.44
3 Np 0.4801 0.2500 0.2784  6 Te 3.06-3.17, 2 Ge 3.16
4 Np 0.5199 0.7500 0.7216  6 Te 3.06-3.17, 2 Ge 3.16
5 Ge 0.4290 0.7500 0.0330  2 Ge 2.70, 1 Te 2.99
6 Ge 0.5710 0.2500 0.9670  2 Ge 2.70, 1 Te 2.99
7 Te 0.1480 0.2500 0.0028  1 Np 3.08, 2 Ge 3.19, 3 Na 3.32-3.44, 2 Te 3.36
8 Te 0.2592 0.2500 0.6885  1 Ge 2.99, 2 Np 3.06, 2 Na 3.29
9 Te 0.2991 0.7500 0.3784  3 Np 3.08-3.17, 2 Na 3.20
10 Te 0.7009 0.2500 0.6216  3 Np 3.08-3.17, 2 Na 3.20
11 Te 0.7408 0.7500 0.3115  1 Ge 2.99, 2 Np 3.06, 2 Na 3.29
12 Te 0.8520 0.7500 0.9972  1 Np 3.08, 2 Ge 3.19, 3 Na 3.32-3.44, 2 Te 3.36

---

3.
Computed, not measured: a geometry-optimized TcSnSb2Te structure at the PBE-GGA level of DFT.

Properties
raw total energy: -23.546 eV/cell
crystal system: tetragonal
N(E_F): 6.1 states/eV/cell
distance to the lowest polymorph of the same formula: 0.000 eV per atom
calculated density: 6.578 g cm⁻³
raw formation energy: 0.4419 eV per atom
calculated volume: 29.68 A^3/atom

a b c (Å): 5.0301 5.0301 5.8649
angles (deg): 90.00 90.00 90.00
Last column: nearest neighbours and their distance in Å.
Atoms (fractional coordinates):
1 Tc 0.0000 0.0000 0.0000  4 Sb 2.52
2 Sn 0.5000 0.5000 0.5000  4 Te 3.56, 8 Sb 3.86
3 Sb 0.0000 0.5000 0.0000  2 Tc 2.52
4 Sb 0.5000 0.0000 0.0000  2 Tc 2.52
5 Te 0.0000 0.0000 0.5000  2 Tc 2.93

---

4.
Computed, not measured: a geometry-optimized Zn2CoSiP structure at the PBE-GGA level of DFT.

Properties
raw total energy: -15.743 eV/cell
crystal system: tetragonal
N(E_F): 4.7 states/eV/cell
calculated density: 4.366 g cm⁻³
raw formation energy: 0.9487 eV per atom
calculated volume: 18.92 A^3/atom

a b c (Å): 4.5310 4.5310 4.6089
angles (deg): 90.00 90.00 90.00
Last column: nearest neighbours and their distance in Å.
Atoms (fractional coordinates):
1 Zn 0.0000 0.5000 0.0000  2 P 2.27
2 Zn 0.5000 0.0000 0.0000  2 P 2.27
3 Co 0.0000 0.0000 0.5000  4 Si 3.20, 8 Zn 3.23
4 Si 0.5000 0.5000 0.5000  2 P 2.30
5 P 0.5000 0.5000 0.0000  4 Zn 2.27, 2 Si 2.30

---

5.
Computed, not measured: a geometry-optimized Tb2CeY7 structure at the PBE-GGA level of DFT.

Properties
raw total energy: -53.142 eV/cell
crystal system: orthorhombic
N(E_F): 19.6 states/eV/cell
calculated density: 4.475 g cm⁻³
calculated volume: 40.09 A^3/atom

a b c (Å): 9.2570 9.2570 5.5968
angles (deg): 90.00 90.00 123.29
Last column: nearest neighbours and their distance in Å.
Atoms (fractional coordinates):
1 Tb 0.2031 0.7969 0.0000  7 Y 3.11-3.36
2 Tb 0.7969 0.2031 0.0000  7 Y 3.11-3.36
3 Ce 0.5000 0.5000 0.5000  10 Y 3.49-3.70
4 Y 0.0000 0.0000 0.0000  2 Tb 3.31, 4 Y 3.40
5 Y 0.2091 0.4375 0.0000  2 Y 3.11-3.40, 2 Tb 3.19-3.36
6 Y 0.2858 0.7142 0.5000  2 Tb 3.11
7 Y 0.4375 0.2091 0.0000  2 Y 3.11-3.40, 2 Tb 3.19-3.36
8 Y 0.5625 0.7909 0.0000  2 Y 3.11-3.40, 2 Tb 3.19-3.36
9 Y 0.7142 0.2858 0.5000  2 Tb 3.11
10 Y 0.7909 0.5625 0.0000  2 Y 3.11-3.40, 2 Tb 3.19-3.36

---

6.
Computed, not measured: a geometry-optimized SmPu2O7 structure at the PBE-GGA level of DFT.

Properties
raw total energy: -96.155 eV/cell
crystal system: trigonal
N(E_F): 9.1 states/eV/cell
calculated density: 9.502 g cm⁻³
raw formation energy: -2.8064 eV per atom
calculated volume: 13.11 A^3/atom

a b c (Å): 10.5257 10.5257 10.5257
angles (deg): 21.00 21.00 21.00
Last column: nearest neighbours and their distance in Å.
Atoms (fractional coordinates):
1 Sm 0.0000 0.0000 0.0000  8 O 2.40-2.44
2 Pu 0.4334 0.4334 0.4334  5 O 2.06-2.25
3 Pu 0.5666 0.5666 0.5666  5 O 2.06-2.25
4 O 0.0791 0.0791 0.0791  3 Pu 2.31, 1 Sm 2.44, 3 O 2.46
5 O 0.2197 0.2197 0.2197  3 Pu 2.25, 3 O 2.46
6 O 0.3636 0.3636 0.3636  1 Pu 2.15, 3 Sm 2.40
7 O 0.5000 0.5000 0.5000  2 Pu 2.06
8 O 0.6364 0.6364 0.6364  1 Pu 2.15, 3 Sm 2.40
9 O 0.7803 0.7803 0.7803  3 Pu 2.25, 3 O 2.46
10 O 0.9209 0.9209 0.9209  3 Pu 2.31, 1 Sm 2.44, 3 O 2.46